Entry from Alexandria via LeMat-Bulk: an optimized crystal structure of Ce3Si3Pt2 (PBE-GGA).

POSCAR file:
```
Ce3Si3Pt2
1.0
4.235 0.000 0.000
-2.117 5.358 0.000
0.000 0.000 15.043
Pt Ce Si
4 6 6
Direct
0.160 0.320 0.385
0.840 0.680 0.615
0.840 0.680 0.885
0.160 0.320 0.115
0.869 0.738 0.099
0.869 0.738 0.401
0.409 0.819 0.750
0.131 0.262 0.901
0.131 0.262 0.599
0.591 0.181 0.250
0.416 0.832 0.550
0.584 0.168 0.050
0.693 0.386 0.750
0.584 0.168 0.450
0.416 0.832 0.950
0.307 0.614 0.250
```

Output
* M_tot: 1.2 μB per formula unit
* DOS(E_F): 24.48 states/eV/cell
* E: -6.76 eV/atom

=====

Entry from Alexandria via LeMat-Bulk: an optimized crystal structure of Ce6Si2Pt (PBE-GGA).

POSCAR file:
```
Ce6Si2Pt
1.0
-0.017 -1.073 3.726
1.994 -7.548 -2.165
5.804 5.426 1.589
Ce Si Pt
6 2 1
Direct
0.500 0.000 0.572
0.000 0.269 0.000
0.000 0.000 0.269
0.500 0.428 0.428
0.500 0.572 0.000
0.000 0.731 0.731
0.000 0.667 0.333
0.000 0.333 0.667
0.500 0.000 0.000
```

Output
* M_tot: 2.9 μB per formula unit
* DOS(E_F): 22.40 states/eV/cell
* E: -6.40 eV/atom

=====

Entry from Alexandria via LeMat-Bulk: an optimized crystal structure of CeSi3Pt5 (PBE-GGA).

POSCAR file:
```
CeSi3Pt5
1.0
-3.061 0.479 -2.399
1.812 -6.303 -0.369
-7.999 -2.863 9.636
Pt Si Ce
10 6 2
Direct
0.000 0.000 0.000
0.000 0.000 0.500
0.456 0.912 0.147
0.544 0.088 0.853
0.791 0.583 0.083
0.209 0.417 0.917
0.544 0.088 0.647
0.209 0.417 0.583
0.456 0.912 0.353
0.791 0.583 0.417
0.885 0.770 0.250
0.384 0.769 0.537
0.115 0.230 0.750
0.384 0.769 0.963
0.616 0.231 0.037
0.616 0.231 0.463
0.155 0.309 0.250
0.845 0.691 0.750
```

Output
* M_tot: 0.8 μB per formula unit
* DOS(E_F): 18.33 states/eV/cell
* E: -6.67 eV/atom

=====

Entry from Alexandria via LeMat-Bulk: an optimized crystal structure of CeSi3Pt6 (PBE-GGA).

POSCAR file:
```
CeSi3Pt6
1.0
-0.304 -1.167 -6.251
3.214 -3.948 3.823
-5.268 -0.764 3.640
Pt Si Ce
6 3 1
Direct
0.771 0.038 0.234
0.501 0.463 0.234
0.774 0.449 0.719
0.394 0.945 0.719
0.270 0.325 0.719
0.196 0.733 0.234
0.241 0.120 0.361
0.718 0.359 0.077
0.285 0.643 0.928
0.849 0.925 0.774
```

Output
* M_tot: 0.5 μB per formula unit
* DOS(E_F): 7.55 states/eV/cell
* E: -6.57 eV/atom

=====

Entry from Alexandria via LeMat-Bulk: an optimized crystal structure of CeSi2Pt3 (PBE-GGA).

POSCAR file:
```
CeSi2Pt3
1.0
0.360 -3.369 2.288
-0.791 -6.003 -5.061
6.353 -4.233 -3.579
Pt Ce Si
6 2 4
Direct
0.681 0.061 0.577
0.965 0.723 0.347
0.386 0.500 0.727
0.614 0.500 0.273
0.319 0.939 0.423
0.035 0.277 0.653
0.157 0.764 0.923
0.843 0.236 0.077
0.183 0.298 0.337
0.516 0.135 0.834
0.484 0.865 0.166
0.817 0.702 0.663
```

Output
* M_tot: 0.6 μB per formula unit
* DOS(E_F): 13.13 states/eV/cell
* E: -6.77 eV/atom

=====

Entry from Alexandria via LeMat-Bulk: an optimized crystal structure of CeSi2Pt2 (PBE-GGA).

POSCAR file:
```
CeSi2Pt2
1.0
5.822 -0.006 0.000
2.774 5.119 0.000
-4.298 -2.557 2.981
Pt Ce Si
2 1 2
Direct
0.250 0.750 0.500
0.750 0.250 0.500
0.000 0.000 0.000
0.382 0.382 0.000
0.618 0.618 0.000
```

Output
* M_tot: 0.5 μB per formula unit
* DOS(E_F): 5.72 states/eV/cell
* E: -6.78 eV/atom

=====

Entry from Alexandria via LeMat-Bulk: an optimized crystal structure of Ce3Si2Pt2 (PBE-GGA).

POSCAR file:
```
Ce3Si2Pt2
1.0
5.680 0.000 0.000
0.000 8.034 0.000
0.000 0.000 13.175
Pt Ce Si
8 12 8
Direct
0.381 0.540 0.907
0.619 0.040 0.593
0.619 0.040 0.907
0.619 0.460 0.407
0.619 0.460 0.093
0.381 0.960 0.093
0.381 0.960 0.407
0.381 0.540 0.593
0.869 0.113 0.104
0.131 0.613 0.396
0.131 0.887 0.896
0.869 0.387 0.604
0.131 0.887 0.604
0.649 0.757 0.250
0.351 0.257 0.250
0.351 0.243 0.750
0.869 0.387 0.896
0.131 0.613 0.104
0.869 0.113 0.396
0.649 0.743 0.750
0.344 0.250 0.000
0.851 0.402 0.250
0.656 0.750 0.000
0.656 0.750 0.500
0.344 0.250 0.500
0.149 0.902 0.250
0.149 0.598 0.750
0.851 0.098 0.750
```

Output
* M_tot: 2.7 μB per formula unit
* DOS(E_F): 55.68 states/eV/cell
* E: -6.76 eV/atom

=====

Entry from Alexandria via LeMat-Bulk: an optimized crystal structure of Ce2Si3Pt2 (PBE-GGA).

POSCAR file:
```
Ce2Si3Pt2
1.0
-3.807 1.219 -1.496
-2.717 -5.984 2.037
-0.076 3.009 8.734
Si Ce Pt
6 4 4
Direct
0.776 0.250 0.553
0.559 0.427 0.117
0.441 0.927 0.883
0.224 0.750 0.447
0.559 0.073 0.117
0.441 0.573 0.883
0.055 0.750 0.110
0.153 0.250 0.306
0.945 0.250 0.890
0.847 0.750 0.694
0.690 0.546 0.380
0.310 0.046 0.620
0.310 0.454 0.620
0.690 0.954 0.380
```

Output
* relative energy among the computed polymorphs: 0.000 eV/atom
* M_tot: 0.4 μB per formula unit
* DOS(E_F): 15.89 states/eV/cell

=====

Entry from Alexandria via LeMat-Bulk: an optimized crystal structure of CeSi2Pt2 (PBE-GGA).

POSCAR file:
```
CeSi2Pt2
1.0
-1.958 -3.637 1.053
2.595 -0.426 3.355
-6.338 5.017 5.541
Pt Si Ce
4 4 2
Direct
0.000 0.500 0.621
0.500 0.000 0.379
0.000 0.000 0.000
0.500 0.500 0.000
0.000 0.500 0.868
0.000 0.000 0.500
0.500 0.000 0.132
0.500 0.500 0.500
0.000 0.500 0.253
0.500 0.000 0.747
```

Output
* M_tot: 0.2 μB per formula unit
* DOS(E_F): 9.24 states/eV/cell
* E: -6.87 eV/atom

=====

Entry from Alexandria via LeMat-Bulk: an optimized crystal structure of Ce2Si7Pt12 (PBE-GGA).

POSCAR file:
```
Ce2Si7Pt12
1.0
3.981 0.000 0.000
0.000 8.659 -4.999
0.000 0.000 9.999
Si Pt Ce
7 12 2
Direct
0.000 0.333 0.667
0.000 0.048 0.781
0.500 0.443 0.067
0.000 0.219 0.267
0.000 0.733 0.952
0.500 0.624 0.557
0.500 0.933 0.376
0.000 0.455 0.519
0.500 0.879 0.591
0.000 0.481 0.936
0.500 0.712 0.121
0.000 0.952 0.210
0.500 0.191 0.408
0.500 0.409 0.288
0.000 0.064 0.545
0.000 0.258 0.048
0.500 0.217 0.809
0.000 0.790 0.742
0.500 0.592 0.783
0.500 0.000 0.000
0.000 0.667 0.333
```

Output
* M_tot: 0.7 μB per formula unit
* DOS(E_F): 13.97 states/eV/cell
* E: -6.70 eV/atom

=====

Entry from Alexandria via LeMat-Bulk: an optimized crystal structure of Ce3SiPt3 (PBE-GGA).

POSCAR file:
```
Ce3SiPt3
1.0
4.097 0.000 0.617
2.027 5.358 0.452
-0.017 -0.103 14.025
Ce Si Pt
6 2 6
Direct
0.747 0.739 0.767
0.600 0.722 0.078
0.253 0.261 0.233
0.524 0.338 0.613
0.400 0.278 0.922
0.476 0.662 0.387
0.237 0.922 0.604
0.763 0.078 0.396
0.131 0.815 0.923
0.972 0.818 0.237
0.869 0.185 0.077
0.858 0.739 0.545
0.142 0.261 0.455
0.028 0.182 0.763
```

Output
* M_tot: 1.5 μB per formula unit
* DOS(E_F): 27.87 states/eV/cell
* E: -6.96 eV/atom

=====

Entry from Alexandria via LeMat-Bulk: an optimized crystal structure of CeSi2Pt5 (PBE-GGA).

POSCAR file:
```
CeSi2Pt5
1.0
-0.449 0.163 -3.941
5.211 -2.413 -2.692
-0.885 -5.904 -2.142
Pt Si Ce
5 2 1
Direct
0.648 0.553 0.151
0.352 0.447 0.849
0.000 0.500 0.500
0.352 0.849 0.447
0.648 0.151 0.553
0.246 0.254 0.254
0.754 0.746 0.746
0.000 0.000 0.000
```

Output
* M_tot: 0.7 μB per formula unit
* DOS(E_F): 8.32 states/eV/cell
* E: -6.77 eV/atom